# La3VAg PBE optimized geometry
# calculated volume: 157.4 Å³/f.u.
# energy above the lowest structure with this stoichiometry: 0 meV per atom
# ρ: 6.1 g/cm³
# VASP energy: -25.1 eV per cell
# DFT formation energy: 331 meV per atom
# magnetic moment: 0.4 μB per cell
data_La3VAg
_symmetry_space_group_name_H-M 'P m -3 m'
_symmetry_Int_Tables_number 221
_symmetry_space_group_name_Hall '-P 4 2 3'
_cell_length_a 5.400
_cell_length_b 5.400
_cell_length_c 5.400
_cell_angle_alpha 90.00
_cell_angle_beta 90.00
_cell_angle_gamma 90.00
loop_
_atom_site_label
_atom_site_type_symbol
_atom_site_fract_x
_atom_site_fract_y
_atom_site_fract_z
La1 La 0.000 0.000 0.500
V1 V 0.000 0.000 0.000
Ag1 Ag 0.500 0.500 0.500